1.
This record from the Alexandria database describes crystalline PmDy5Ho2Sc at its relaxed geometry. The functional is PBE-GGA.

Cell and atoms, written as POSCAR:
```
PmDy5Ho2Sc
1.0
2.777 -9.848 0.000
2.777 9.848 0.000
0.000 0.000 10.373
Pm Dy Ho Sc
2 10 4 2
direct
0.087 0.913 0.500
0.913 0.087 0.000
0.019 0.981 0.785
0.123 0.877 0.066
0.202 0.798 0.751
0.223 0.777 0.367
0.482 0.518 0.065
0.518 0.482 0.565
0.777 0.223 0.867
0.798 0.202 0.251
0.877 0.123 0.566
0.981 0.019 0.285
0.386 0.614 0.782
0.388 0.612 0.360
0.612 0.388 0.860
0.614 0.386 0.282
0.304 0.696 0.060
0.696 0.304 0.560
```

Formation enthalpy at 0 K ... 148 kJ/mol of formula units
Crystal system ... orthorhombic
Size of the total moment ... 0.000 μB per atom

---

2.
This record from the Alexandria database describes crystalline Pm2DyHo5Sc at its relaxed geometry. The functional is PBE-GGA.

Cell and atoms, written as POSCAR:
```
Pm2DyHo5Sc
1.0
-4.245 4.245 7.815
4.245 -4.245 7.815
4.245 4.245 -7.815
Pm Dy Ho Sc
4 2 10 2
direct
0.119 0.619 0.739
0.381 0.119 0.500
0.619 0.881 0.500
0.881 0.381 0.261
0.250 0.250 0.000
0.750 0.750 0.000
0.000 0.000 0.000
0.067 0.148 0.500
0.148 0.648 0.081
0.352 0.433 0.500
0.433 0.933 0.081
0.500 0.500 0.000
0.567 0.067 0.919
0.648 0.567 0.500
0.852 0.352 0.919
0.933 0.852 0.500
0.250 0.750 0.500
0.750 0.250 0.500
```

Formation enthalpy at 0 K ... 243 kJ/mol of formula units
Crystal system ... tetragonal
Size of the total moment ... 0.000 μB per atom

---

3.
This record from the Alexandria database describes crystalline PmDy2Ho2Sc2 at its relaxed geometry. The functional is PBE-GGA.

Cell and atoms, written as POSCAR:
```
PmDy2Ho2Sc2
1.0
8.607 -1.695 0.000
8.607 1.695 0.000
-3.646 0.000 7.317
Pm Dy Ho Sc
1 2 2 2
direct
0.000 0.000 0.000
0.427 0.427 0.584
0.573 0.573 0.416
0.212 0.212 0.290
0.788 0.788 0.710
0.349 0.349 0.108
0.651 0.651 0.892
```

Formation enthalpy at 0 K ... 123 kJ/mol of formula units
Crystal system ... monoclinic
Size of the total moment ... 0.001 μB per atom

---

4.
This record from the Alexandria database describes crystalline PmDyHo2Sc2 at its relaxed geometry. The functional is PBE-GGA.

Cell and atoms, written as POSCAR:
```
PmDyHo2Sc2
1.0
6.275 0.000 0.000
0.000 17.375 0.000
0.000 0.000 3.339
Pm Dy Ho Sc
2 2 4 4
direct
0.000 0.000 0.000
0.500 0.500 0.500
0.000 0.500 0.000
0.500 0.000 0.500
0.221 0.192 0.000
0.279 0.692 0.500
0.721 0.308 0.500
0.779 0.808 0.000
0.218 0.354 0.500
0.282 0.854 0.000
0.718 0.146 0.000
0.782 0.646 0.500
```

Formation enthalpy at 0 K ... 162 kJ/mol of formula units
Crystal system ... orthorhombic
Size of the total moment ... 0.000 μB per atom

---

5.
This record from the Alexandria database describes crystalline Pm2DyHoSc4 at its relaxed geometry. The functional is PBE-GGA.

Cell and atoms, written as POSCAR:
```
Pm2DyHoSc4
1.0
5.960 0.000 0.000
0.000 3.445 0.000
-1.978 0.000 11.004
Pm Dy Ho Sc
2 1 1 4
direct
0.000 0.000 0.000
0.000 0.500 0.500
0.500 0.000 0.500
0.500 0.500 0.000
0.251 0.000 0.750
0.251 0.500 0.250
0.749 0.000 0.250
0.749 0.500 0.750
```

Formation enthalpy at 0 K ... 48 kJ/mol of formula units
Crystal system ... monoclinic
Size of the total moment ... 0.000 μB per atom

---

6.
This record from the Alexandria database describes crystalline Pm2Dy2HoSc2 at its relaxed geometry. The functional is PBE-GGA.

Cell and atoms, written as POSCAR:
```
Pm2Dy2HoSc2
1.0
5.683 -1.716 0.000
5.683 1.716 0.000
-3.770 0.000 10.967
Pm Dy Ho Sc
2 2 1 2
direct
0.171 0.171 0.089
0.829 0.829 0.911
0.046 0.046 0.766
0.954 0.954 0.234
0.500 0.500 0.500
0.271 0.271 0.630
0.729 0.729 0.370
```

Formation enthalpy at 0 K ... 73 kJ/mol of formula units
Crystal system ... monoclinic
Size of the total moment ... 0.000 μB per atom

---

7.
This record from the Alexandria database describes crystalline Pm2Dy2HoSc at its relaxed geometry. The functional is PBE-GGA.

Cell and atoms, written as POSCAR:
```
Pm2Dy2HoSc
1.0
6.866 0.000 0.000
0.000 5.584 0.000
0.000 0.000 9.669
Pm Dy Ho Sc
4 4 2 2
direct
0.000 0.000 0.000
0.250 0.500 0.186
0.500 0.000 0.000
0.750 0.500 0.814
0.250 0.000 0.332
0.250 0.500 0.837
0.750 0.000 0.668
0.750 0.500 0.163
0.250 0.000 0.653
0.750 0.000 0.347
0.000 0.500 0.500
0.500 0.500 0.500
```

Formation enthalpy at 0 K ... 54 kJ/mol of formula units
Crystal system ... orthorhombic
Size of the total moment ... 0.000 μB per atom

---

8.
This record from the Alexandria database describes crystalline PmDyHo3Sc at its relaxed geometry. The functional is PBE-GGA.

Cell and atoms, written as POSCAR:
```
PmDyHo3Sc
1.0
2.477 -7.428 0.000
2.477 7.428 0.000
0.000 0.000 9.932
Pm Dy Ho Sc
2 2 6 2
direct
0.002 0.998 0.750
0.998 0.002 0.250
0.500 0.500 0.000
0.500 0.500 0.500
0.168 0.832 0.000
0.168 0.832 0.500
0.330 0.670 0.750
0.670 0.330 0.250
0.832 0.168 0.000
0.832 0.168 0.500
0.332 0.668 0.250
0.668 0.332 0.750
```

Formation enthalpy at 0 K ... 22 kJ/mol of formula units
Crystal system ... orthorhombic
Size of the total moment ... 0.000 μB per atom